Entry 1:
This record from Alexandria via LeMat-Bulk describes a PBEsol-optimized structure of La2CuRu2. The functional is SCAN.

Cell: 5.342 5.342 5.342 Å, 120.06 120.06 89.90°
Fractional coordinates of all 5 atoms:
La (0.250, 0.750, 0.500)
La (0.750, 0.250, 0.500)
Cu (0.000, 0.000, 0.000)
Ru (0.330, 0.330, 0.000)
Ru (0.670, 0.670, 0.000)

Calculated values
Symmetry: I4/mmm
Crystal system: tetragonal
Energy relative to the elements, meV per atom: 181

=====

Entry 2:
This record from Alexandria via LeMat-Bulk describes a PBEsol-optimized structure of ScHg2Br. The functional is SCAN.

Cell: 6.212 6.212 6.212 Å, 142.13 142.13 54.64°
Fractional coordinates of all 4 atoms:
Sc (0.000, 0.000, 0.000)
Hg (0.250, 0.750, 0.500)
Hg (0.750, 0.250, 0.500)
Br (0.500, 0.500, 0.000)

Calculated values
Relative energy among the computed polymorphs, kJ/mol of formula units: 20
Symmetry: I4/mmm
Crystal system: tetragonal

=====

Entry 3:
This record from Alexandria via LeMat-Bulk describes a PBEsol-optimized structure of Sr2ReTe. The functional is SCAN.

Cell: 5.466 5.466 5.466 Å, 120.51 120.51 89.11°
Fractional coordinates of all 4 atoms:
Sr (0.250, 0.750, 0.500)
Sr (0.750, 0.250, 0.500)
Re (0.000, 0.000, 0.000)
Te (0.500, 0.500, 0.000)

Calculated values
Relative energy among the computed polymorphs, kJ/mol of formula units: 81
Symmetry: I4/mmm
Crystal system: tetragonal

=====

Entry 4:
This record from Alexandria via LeMat-Bulk describes a PBEsol-optimized structure of ZnSi2Ag. The functional is SCAN.

Cell: 5.691 5.691 5.691 Å, 101.69 101.69 126.50°
Fractional coordinates of all 8 atoms:
Zn (0.000, 0.000, 0.000)
Zn (0.750, 0.250, 0.500)
Si (0.123, 0.125, 0.498)
Si (0.375, 0.877, 0.002)
Si (0.627, 0.625, 0.502)
Si (0.875, 0.373, 0.998)
Ag (0.250, 0.750, 0.500)
Ag (0.500, 0.500, 0.000)

Calculated values
Symmetry: I-42d
Crystal system: tetragonal
E, eV per atom: -15.67

=====

Entry 5:
This record from Alexandria via LeMat-Bulk describes a PBEsol-optimized structure of Ca2AlAu. The functional is SCAN.

Cell: 4.442 5.917 5.917 Å, 41.55 90.00 90.00°
Fractional coordinates of all 4 atoms:
Ca (0.000, 0.000, 0.000)
Ca (0.500, 0.296, 0.296)
Al (0.000, 0.707, 0.707)
Au (0.500, 0.587, 0.587)

Calculated values
Symmetry: Amm2
Crystal system: orthorhombic
Energy relative to the elements, meV per atom: -636

=====

Entry 6:
This record from Alexandria via LeMat-Bulk describes a PBEsol-optimized structure of MgNiTe3. The functional is SCAN.

Cell: 5.286 5.286 5.286 Å, 90.00 90.00 90.00°
Fractional coordinates of all 5 atoms:
Mg (0.000, 0.000, 0.000)
Ni (0.500, 0.500, 0.500)
Te (0.000, 0.000, 0.500)
Te (0.000, 0.500, 0.000)
Te (0.500, 0.000, 0.000)

Calculated values
Symmetry: Pm-3m
Crystal system: cubic
E, eV per atom: -25.71

=====

Entry 7:
This record from Alexandria via LeMat-Bulk describes a PBEsol-optimized structure of Li2ScIn. The functional is SCAN.

Cell: 4.774 4.774 4.774 Å, 60.00 60.00 60.00°
Fractional coordinates of all 4 atoms:
Li (0.000, 0.000, 0.000)
Li (0.250, 0.250, 0.250)
Sc (0.750, 0.750, 0.750)
In (0.500, 0.500, 0.500)

Calculated values
Symmetry: F-43m
Crystal system: cubic
Energy relative to the elements, meV per atom: -317

=====

Entry 8:
This record from Alexandria via LeMat-Bulk describes a PBEsol-optimized structure of LiZrSiC2. The functional is SCAN.

Cell: 3.776 3.776 4.827 Å, 90.00 90.00 90.00°
Fractional coordinates of all 5 atoms:
Li (0.000, 0.000, 0.000)
Zr (0.500, 0.500, 0.000)
Si (0.500, 0.500, 0.500)
C (0.000, 0.500, 0.500)
C (0.500, 0.000, 0.500)

Calculated values
Symmetry: P4/mmm
Crystal system: tetragonal
E, eV per atom: -11.16

=====

Entry 9:
This record from Alexandria via LeMat-Bulk describes a PBEsol-optimized structure of La2P4O13. The functional is SCAN.

Cell: 6.997 6.997 13.330 Å, 103.47 103.47 60.05°
Fractional coordinates of all 38 atoms:
La (0.183, 0.192, 0.050)
La (0.192, 0.183, 0.550)
La (0.808, 0.817, 0.450)
La (0.817, 0.808, 0.950)
P (0.254, 0.279, 0.341)
P (0.279, 0.254, 0.841)
P (0.336, 0.648, 0.137)
P (0.352, 0.664, 0.363)
P (0.648, 0.336, 0.637)
P (0.664, 0.352, 0.863)
P (0.721, 0.746, 0.159)
P (0.746, 0.721, 0.659)
O (0.060, 0.423, 0.404)
O (0.087, 0.420, 0.903)
O (0.176, 0.823, 0.433)
O (0.177, 0.824, 0.067)
O (0.191, 0.208, 0.228)
O (0.208, 0.191, 0.728)
O (0.253, 0.747, 0.250)
O (0.365, 0.417, 0.104)
O (0.380, 0.420, 0.343)
O (0.417, 0.365, 0.604)
O (0.420, 0.087, 0.403)
O (0.420, 0.380, 0.843)
O (0.423, 0.060, 0.904)
O (0.577, 0.940, 0.096)
O (0.580, 0.620, 0.157)
O (0.580, 0.913, 0.597)
O (0.583, 0.635, 0.396)
O (0.620, 0.580, 0.657)
O (0.635, 0.583, 0.896)
O (0.747, 0.253, 0.750)
O (0.792, 0.809, 0.272)
O (0.809, 0.792, 0.772)
O (0.823, 0.176, 0.933)
O (0.824, 0.177, 0.567)
O (0.913, 0.580, 0.097)
O (0.940, 0.577, 0.596)

Calculated values
Relative energy among the computed polymorphs, kJ/mol of formula units: 0
Symmetry: C2/c
Crystal system: monoclinic

=====

Entry 10:
This record from Alexandria via LeMat-Bulk describes a PBEsol-optimized structure of Ag7Pt3. The functional is SCAN.

Cell: 4.031 10.061 10.061 Å, 23.01 90.00 90.00°
Fractional coordinates of all 10 atoms:
Ag (0.000, 0.000, 0.000)
Ag (0.000, 0.198, 0.198)
Ag (0.000, 0.401, 0.401)
Ag (0.000, 0.801, 0.801)
Ag (0.500, 0.099, 0.099)
Ag (0.500, 0.301, 0.301)
Ag (0.500, 0.699, 0.699)
Pt (0.000, 0.598, 0.598)
Pt (0.500, 0.500, 0.500)
Pt (0.500, 0.902, 0.902)

Calculated values
Symmetry: Amm2
Crystal system: orthorhombic
Energy relative to the elements, meV per atom: 31

=====

Entry 11:
This record from Alexandria via LeMat-Bulk describes a PBEsol-optimized structure of KCrOs2. The functional is SCAN.

Cell: 3.108 3.108 7.998 Å, 90.00 90.00 90.00°
Fractional coordinates of all 4 atoms:
K (0.000, 0.000, 0.000)
Cr (0.500, 0.500, 0.637)
Os (0.000, 0.000, 0.514)
Os (0.500, 0.500, 0.332)

Calculated values
Relative energy among the computed polymorphs, kJ/mol of formula units: 119
Symmetry: P4mm
Crystal system: tetragonal
Energy relative to the elements, meV per atom: 991

=====

Entry 12:
This record from Alexandria via LeMat-Bulk describes a PBEsol-optimized structure of K3LaP2O8. The functional is SCAN.

Cell: 7.463 5.651 9.615 Å, 90.00 90.93 90.00°
Fractional coordinates of all 28 atoms:
K (0.009, 0.250, 0.190)
K (0.140, 0.750, 0.405)
K (0.300, 0.250, 0.916)
K (0.700, 0.750, 0.084)
K (0.860, 0.250, 0.595)
K (0.991, 0.750, 0.810)
La (0.492, 0.750, 0.707)
La (0.508, 0.250, 0.293)
P (0.262, 0.750, 0.084)
P (0.299, 0.250, 0.574)
P (0.701, 0.750, 0.426)
P (0.738, 0.250, 0.916)
O (0.057, 0.750, 0.099)
O (0.215, 0.250, 0.425)
O (0.239, 0.025, 0.654)
O (0.239, 0.475, 0.654)
O (0.318, 0.750, 0.929)
O (0.342, 0.526, 0.157)
O (0.342, 0.974, 0.157)
O (0.494, 0.750, 0.441)
O (0.506, 0.250, 0.559)
O (0.658, 0.026, 0.843)
O (0.658, 0.474, 0.843)
O (0.682, 0.250, 0.071)
O (0.761, 0.525, 0.346)
O (0.761, 0.975, 0.346)
O (0.785, 0.750, 0.575)
O (0.943, 0.250, 0.901)

Calculated values
Symmetry: P2_1/m
Crystal system: monoclinic
E, eV per atom: -12.80

=====

Entry 13:
This record from Alexandria via LeMat-Bulk describes a PBEsol-optimized structure of TePdRhN2. The functional is SCAN.

Cell: 3.728 3.728 6.083 Å, 90.00 90.00 90.00°
Fractional coordinates of all 5 atoms:
Te (0.000, 0.000, 0.000)
Pd (0.000, 0.000, 0.500)
Rh (0.500, 0.500, 0.000)
N (0.000, 0.500, 0.500)
N (0.500, 0.000, 0.500)

Calculated values
Symmetry: P4/mmm
Crystal system: tetragonal
E, eV per atom: -23.12

=====

Entry 14:
This record from Alexandria via LeMat-Bulk describes a PBEsol-optimized structure of LiHBr. The functional is SCAN.

Cell: 4.259 4.264 8.367 Å, 102.90 91.68 119.31°
Fractional coordinates of all 6 atoms:
Li (0.120, 0.249, 0.366)
Li (0.880, 0.751, 0.634)
H (0.082, 0.092, 0.998)
H (0.918, 0.908, 0.002)
Br (0.235, 0.448, 0.688)
Br (0.765, 0.552, 0.312)

Calculated values
Symmetry: P-1
Crystal system: triclinic
E, eV per atom: -9.55

=====

Entry 15:
This record from Alexandria via LeMat-Bulk describes a PBEsol-optimized structure of MgHgSe4. The functional is SCAN.

Cell: 5.736 5.736 5.736 Å, 60.00 60.00 60.00°
Fractional coordinates of all 6 atoms:
Mg (0.000, 0.000, 0.000)
Hg (0.750, 0.750, 0.750)
Se (0.375, 0.375, 0.375)
Se (0.375, 0.375, 0.875)
Se (0.375, 0.875, 0.375)
Se (0.875, 0.375, 0.375)

Calculated values
Symmetry: F-43m
Crystal system: cubic
E, eV per atom: -25.27

=====

Entry 16:
This record from Alexandria via LeMat-Bulk describes a PBEsol-optimized structure of Li2MgIn. The functional is SCAN.

Cell: 4.677 4.677 4.677 Å, 60.00 60.00 60.00°
Fractional coordinates of all 4 atoms:
Li (0.250, 0.250, 0.250)
Li (0.750, 0.750, 0.750)
Mg (0.000, 0.000, 0.000)
In (0.500, 0.500, 0.500)

Calculated values
Symmetry: Fm-3m
Crystal system: cubic
Energy relative to the elements, meV per atom: -306

=====

Entry 17:
This record from Alexandria via LeMat-Bulk describes a PBEsol-optimized structure of YAlP2. The functional is SCAN.

Cell: 3.525 3.525 5.576 Å, 90.00 90.00 90.00°
Fractional coordinates of all 4 atoms:
Y (0.000, 0.000, 0.000)
Al (0.000, 0.000, 0.500)
P (0.500, 0.500, 0.282)
P (0.500, 0.500, 0.718)

Calculated values
Symmetry: P4/mmm
Crystal system: tetragonal
Energy relative to the elements, meV per atom: -548

=====

Entry 18:
This record from Alexandria via LeMat-Bulk describes a PBEsol-optimized structure of Pt. The functional is SCAN.

Cell: 2.723 2.723 4.702 Å, 90.00 90.00 120.00°
Fractional coordinates of all 2 atoms:
Pt (0.333, 0.667, 0.250)
Pt (0.667, 0.333, 0.750)

Calculated values
Relative energy among the computed polymorphs, kJ/mol of formula units: 10
Symmetry: P6_3/mmc
Crystal system: hexagonal
Energy relative to the elements, meV per atom: 106

=====

Entry 19:
This record from Alexandria via LeMat-Bulk describes a PBEsol-optimized structure of SrAgSF. The functional is SCAN.

Cell: 4.038 4.038 8.914 Å, 90.00 90.00 90.00°
Fractional coordinates of all 8 atoms:
Sr (0.250, 0.250, 0.158)
Sr (0.750, 0.750, 0.842)
Ag (0.250, 0.750, 0.500)
Ag (0.750, 0.250, 0.500)
S (0.250, 0.250, 0.691)
S (0.750, 0.750, 0.309)
F (0.250, 0.750, 0.000)
F (0.750, 0.250, 0.000)

Calculated values
Symmetry: P4/nmm
Crystal system: tetragonal
E, eV per atom: -18.94

=====

Entry 20:
This record from Alexandria via LeMat-Bulk describes a PBEsol-optimized structure of KCu2P. The functional is SCAN.

Cell: 3.100 3.100 7.346 Å, 90.00 90.00 90.00°
Fractional coordinates of all 4 atoms:
K (0.000, 0.000, 0.000)
Cu (0.000, 0.000, 0.475)
Cu (0.500, 0.500, 0.642)
P (0.500, 0.500, 0.326)

Calculated values
Symmetry: P4mm
Crystal system: tetragonal
Energy relative to the elements, meV per atom: 210